The following is a DFT calculation (GGA+U) of a geometry-optimized NiPbN2F structure.

Cell lengths 3.6793, 3.6793, 4.9139 Å; angles 90.00, 90.00, 90.00 degrees
With the nearest neighbours (Å) after each atom.
Element x y z (fractional)
F 0.0000 0.0000 0.5000  2 Ni 2.46, 4 Pb 2.60
N 0.0000 0.5000 0.0000  2 Ni 1.84
N 0.5000 0.0000 0.0000  2 Ni 1.84
Ni 0.0000 0.0000 0.0000  4 N 1.84
Pb 0.5000 0.5000 0.5000  4 F 2.60

**Space-group type**: No. 123
**VASP energy**: -22.28 eV for the cell shown
**Total magnetic moment**: 2.68 μB/f.u.